5
Lattice="-3.7039 1.8754 2.7088 0.4476 -3.1046 2.7614 3.2516 2.7376 2.5507" Properties=species:S:1:pos:R:3 comment="PBE+U NaTl2NiO, relaxed" final_energy_ev_per_atom=-2.496 pbc="T T T"
Ni -0.0023 0.7542 4.0105
Tl 1.6258 1.3688 1.2754
O 0.0000 0.0000 0.0000
Tl -1.8519 0.9377 1.3544
Na 0.2238 -1.5523 1.3807